ZnCrBi2H at its PBEsol-relaxed geometry, computed with SCAN.

a = 5.2592 Å, b = 5.2592 Å, c = 3.3410 Å
α = 90.00°, β = 90.00°, γ = 90.00°
With the nearest neighbours (Å) after each atom.
Space group P4/mmm (No. 123)
Unique sites:
Zn 0.0000 0.0000 0.0000 x1  8 Bi 3.12, 2 Zn 3.34
Cr 0.5000 0.5000 0.0000 x1  2 H 1.67
Bi 0.0000 0.5000 0.5000 x2  2 H 2.63
H 0.5000 0.5000 0.5000 x1  2 Cr 1.67

Summary:
- Electronic total energy: -190.721 eV per cell
- Total magnetic moment: 3.49 Bohr magnetons per cell

CrHgBi3 at its PBEsol-relaxed geometry, computed with SCAN.

a = 5.1648 Å, b = 5.1648 Å, c = 5.1648 Å
α = 90.00°, β = 90.00°, γ = 90.00°
With the nearest neighbours (Å) after each atom.
Space group Pm-3m (No. 221)
Unique sites:
Cr 0.0000 0.0000 0.0000 x1  6 Bi 2.58
Hg 0.5000 0.5000 0.5000 x1  12 Bi 3.65
Bi 0.0000 0.0000 0.5000 x3  2 Cr 2.58

Summary:
- Energy of formation: 0.4381 eV/atom
- Total magnetic moment: 2.17 Bohr magnetons per cell

CrHgBiI2 at its PBEsol-relaxed geometry, computed with SCAN.

a = 6.1040 Å, b = 6.1040 Å, c = 5.4571 Å
α = 90.00°, β = 90.00°, γ = 90.00°
With the nearest neighbours (Å) after each atom.
Space group P4/mmm (No. 123)
Unique sites:
Cr 0.0000 0.0000 0.0000 x1  2 Bi 2.73
Hg 0.5000 0.5000 0.0000 x1  8 I 4.09, 4 Cr 4.32
Bi 0.0000 0.0000 0.5000 x1  2 Cr 2.73, 4 I 3.05
I 0.0000 0.5000 0.5000 x2  2 Bi 3.05

Summary:
- Formation energy (no corrections): 247.0 meV per atom
- Total magnetic moment: 4.88 Bohr magnetons per cell

ZrCrHg2Bi at its PBEsol-relaxed geometry, computed with SCAN.

a = 4.9728 Å, b = 4.9728 Å, c = 4.9759 Å
α = 90.00°, β = 90.00°, γ = 90.00°
With the nearest neighbours (Å) after each atom.
Space group P4/mmm (No. 123)
Unique sites:
Zr 0.0000 0.0000 0.0000 x1  4 Bi 3.52, 8 Hg 3.52
Cr 0.5000 0.5000 0.5000 x1  4 Hg 2.49, 2 Bi 2.49
Hg 0.0000 0.5000 0.5000 x2  2 Cr 2.49
Bi 0.5000 0.5000 0.0000 x1  2 Cr 2.49

Summary:
- Energy of formation: 0.6041 eV/atom
- Total magnetic moment: 4.18 Bohr magnetons per cell

CrBiTeI2 at its PBEsol-relaxed geometry, computed with SCAN.

a = 5.2557 Å, b = 5.2557 Å, c = 5.4314 Å
α = 90.00°, β = 90.00°, γ = 90.00°
With the nearest neighbours (Å) after each atom.
Space group P4/mmm (No. 123)
Unique sites:
Cr 0.0000 0.0000 0.0000 x1  4 I 2.63, 2 Te 2.72
Bi 0.5000 0.5000 0.5000 x1  4 Te 3.72, 8 I 3.78
Te 0.0000 0.0000 0.5000 x1  2 Cr 2.72
I 0.0000 0.5000 0.0000 x2  2 Cr 2.63

Summary:
- Formation energy (no corrections): 101.2 meV per atom
- Total magnetic moment: 3.75 Bohr magnetons per cell

CrBiIr3 at its PBEsol-relaxed geometry, computed with SCAN.

a = 4.8857 Å, b = 4.8857 Å, c = 4.8857 Å
α = 90.00°, β = 90.00°, γ = 90.00°
With the nearest neighbours (Å) after each atom.
Space group Pm-3m (No. 221)
Unique sites:
Cr 0.0000 0.0000 0.0000 x1  12 Ir 3.45
Bi 0.5000 0.5000 0.5000 x1  6 Ir 2.44
Ir 0.0000 0.5000 0.5000 x3  2 Bi 2.44

Summary:
- Polymorph energy (0 for the lowest one): 1043 meV per atom
- Energy of formation: 2.2708 eV/atom
- Total magnetic moment: 6.05 Bohr magnetons per cell

CrBiIr3 at its PBEsol-relaxed geometry, computed with SCAN.

a = 4.5204 Å, b = 4.5204 Å, c = 4.5204 Å
α = 90.00°, β = 90.00°, γ = 90.00°
With the nearest neighbours (Å) after each atom.
Space group Pm-3m (No. 221)
Unique sites:
Cr 0.0000 0.0000 0.0000 x1  6 Ir 2.26
Bi 0.5000 0.5000 0.5000 x1  12 Ir 3.20
Ir 0.0000 0.0000 0.5000 x3  2 Cr 2.26

Summary:
- Polymorph energy (0 for the lowest one): 0 meV per atom
- Energy of formation: 1.2280 eV/atom
- Total magnetic moment: 0.00 Bohr magnetons per cell

CrBi2IrRu at its PBEsol-relaxed geometry, computed with SCAN.

a = 4.9427 Å, b = 4.9427 Å, c = 4.2798 Å
α = 90.00°, β = 90.00°, γ = 90.00°
With the nearest neighbours (Å) after each atom.
Space group P4/mmm (No. 123)
Unique sites:
Cr 0.0000 0.0000 0.0000 x1  2 Ru 2.14
Bi 0.0000 0.5000 0.0000 x2  2 Cr 2.47
Ir 0.5000 0.5000 0.5000 x1  8 Bi 3.27, 4 Ru 3.49
Ru 0.0000 0.0000 0.5000 x1  2 Cr 2.14

Summary:
- Energy of formation: 1.4665 eV/atom
- Total magnetic moment: 2.26 Bohr magnetons per cell

Number 1: ρ 9.6 g cm⁻³. Number 2: ρ 10.6 g cm⁻³. Number 3: ρ 5.8 g cm⁻³. Number 4: ρ 10.2 g cm⁻³. Number 5: ρ 7.1 g cm⁻³. Number 6: ρ 11.9 g cm⁻³. Number 7: ρ 15.1 g cm⁻³. Number 8: ρ 12.1 g cm⁻³.